Entry 1:
Compound: K2HgPb2
Source: the Alexandria database
Functional: PBE
Structure: optimized geometry

Geometry as extended XYZ:
```
10
Lattice="4.508 0.000 0.000 0.000 4.508 0.000 0.000 0.000 20.440" Properties=species:S:1:pos:R:3 pbc="T T T"
K 0.000 0.000 2.062
K 0.000 0.000 18.377
K 2.254 2.254 8.157
K 2.254 2.254 12.282
Hg 0.000 0.000 10.220
Hg 2.254 2.254 0.000
Pb 0.000 2.254 5.110
Pb 0.000 2.254 15.330
Pb 2.254 0.000 5.110
Pb 2.254 0.000 15.330
```

## Properties
Energy relative to the lowest polymorph listed for this composition (meV per atom): 101
VASP energy (eV/cell): -20.3
ΔE_f (kJ/mol of formula units): -24



Entry 2:
Compound: KHg2Pb
Source: the Alexandria database
Functional: PBE
Structure: optimized geometry

Geometry as extended XYZ:
```
12
Lattice="4.970 0.000 0.000 -2.485 4.304 0.000 0.000 0.000 21.104" Properties=species:S:1:pos:R:3 pbc="T T T"
K 0.000 0.000 0.000
K 0.000 2.869 14.069
K 2.485 1.435 7.035
Hg 0.000 0.000 9.046
Hg 0.000 0.000 12.112
Hg 0.000 2.869 2.012
Hg 0.000 2.869 5.078
Hg 2.485 1.435 16.081
Hg 2.485 1.435 19.147
Pb 0.000 0.000 17.003
Pb 0.000 2.869 9.968
Pb 2.485 1.435 2.934
```

## Properties
VASP energy (eV/cell): -16.7
ΔE_f (kJ/mol of formula units): -15



Entry 3:
Compound: KHgPb
Source: the Alexandria database
Functional: PBE
Structure: optimized geometry

Geometry as extended XYZ:
```
12
Lattice="5.355 0.000 0.000 0.000 5.366 0.000 0.000 0.000 13.731" Properties=species:S:1:pos:R:3 pbc="T T T"
K 0.000 0.000 0.000
K 0.000 2.683 6.866
K 2.678 0.000 6.866
K 2.678 2.683 0.000
Hg 0.000 0.000 9.118
Hg 0.000 2.683 2.252
Hg 2.678 0.000 2.252
Hg 2.678 2.683 9.118
Pb 0.000 0.000 4.138
Pb 0.000 2.683 11.004
Pb 2.678 0.000 11.004
Pb 2.678 2.683 4.138
```

## Properties
Energy relative to the lowest polymorph listed for this composition (meV per atom): 85
VASP energy (eV/cell): -21.7
ΔE_f (kJ/mol of formula units): -31



Entry 4:
Compound: KHg3Pb
Source: the Alexandria database
Functional: PBE
Structure: optimized geometry

Geometry as extended XYZ:
```
10
Lattice="6.604 0.000 0.000 0.006 6.818 0.000 0.004 0.504 6.801" Properties=species:S:1:pos:R:3 pbc="T T T"
K 0.000 0.000 0.000
K 3.307 2.516 4.628
Hg 0.052 1.710 3.318
Hg 1.653 3.489 1.221
Hg 3.261 5.946 6.088
Hg 3.350 0.805 1.310
Hg 4.961 5.846 3.404
Hg 6.559 3.892 5.341
Pb 1.658 5.812 3.381
Pb 4.955 3.519 1.249
```

## Properties
Energy relative to the lowest polymorph listed for this composition (meV per atom): 0
VASP energy (eV/cell): -13.1
ΔE_f (kJ/mol of formula units): -81



Entry 5:
Compound: KHg9Pb2
Source: the Alexandria database
Functional: PBE
Structure: optimized geometry

Geometry as extended XYZ:
```
12
Lattice="10.482 0.000 0.000 -5.241 9.077 0.000 0.000 0.000 3.674" Properties=species:S:1:pos:R:3 pbc="T T T"
K 0.000 0.000 0.000
Hg -2.620 4.539 0.000
Hg 0.000 3.160 1.837
Hg -2.504 7.497 1.837
Hg 2.737 1.580 1.837
Hg 5.241 0.000 0.000
Hg 2.620 4.539 0.000
Hg 2.504 7.497 1.837
Hg 7.745 1.580 1.837
Hg 5.241 5.917 1.837
Pb 0.000 6.052 0.000
Pb 5.241 3.026 0.000
```

## Properties
VASP energy (eV/cell): -11.8
ΔE_f (kJ/mol of formula units): -54



Entry 6:
Compound: K4Hg2Pb
Source: the Alexandria database
Functional: PBE
Structure: optimized geometry

Geometry as extended XYZ:
```
14
Lattice="6.851 0.000 0.000 0.000 6.851 0.000 0.000 0.000 16.775" Properties=species:S:1:pos:R:3 pbc="T T T"
K 0.000 0.000 3.438
K 0.000 0.000 13.337
K 0.000 3.426 0.000
K 0.000 3.426 8.387
K 3.426 0.000 0.000
K 3.426 0.000 8.387
K 3.426 3.426 4.950
K 3.426 3.426 11.825
Hg 0.000 0.000 6.878
Hg 0.000 0.000 9.897
Hg 3.426 3.426 1.510
Hg 3.426 3.426 15.265
Pb 0.000 0.000 0.000
Pb 3.426 3.426 8.387
```

## Properties
Energy relative to the lowest polymorph listed for this composition (meV per atom): 128
VASP energy (eV/cell): -17.9
ΔE_f (kJ/mol of formula units): -26



Entry 7:
Compound: KHg2Pb
Source: the Alexandria database
Functional: PBE
Structure: optimized geometry

Geometry as extended XYZ:
```
8
Lattice="10.207 0.000 0.000 0.000 4.023 0.000 -1.573 0.000 6.537" Properties=species:S:1:pos:R:3 pbc="T T T"
K 0.000 0.000 0.000
K 5.104 2.011 0.000
Hg 1.343 0.000 4.555
Hg 2.187 2.011 1.982
Hg 6.447 2.011 4.555
Hg 7.291 0.000 1.982
Pb -0.787 2.011 3.269
Pb 4.317 0.000 3.269
```

## Properties
VASP energy (eV/cell): -11.8
ΔE_f (kJ/mol of formula units): -48



Entry 8:
Compound: KHg2Pb4
Source: the Alexandria database
Functional: PBE
Structure: optimized geometry

Geometry as extended XYZ:
```
14
Lattice="5.281 0.000 0.000 0.000 18.876 0.000 0.000 0.000 4.705" Properties=species:S:1:pos:R:3 pbc="T T T"
K 0.000 0.000 0.000
K 2.640 9.438 0.000
Hg 0.000 7.995 2.353
Hg 0.000 10.882 2.353
Hg 2.640 1.443 2.353
Hg 2.640 17.433 2.353
Pb 0.000 3.479 2.353
Pb 0.000 5.846 0.000
Pb 0.000 13.031 0.000
Pb 0.000 15.397 2.353
Pb 2.640 3.593 0.000
Pb 2.640 5.959 2.353
Pb 2.640 12.917 2.353
Pb 2.640 15.284 0.000
```

## Properties
Energy relative to the lowest polymorph listed for this composition (meV per atom): 0
VASP energy (eV/cell): -34.2
ΔE_f (kJ/mol of formula units): -53



Entry 9:
Compound: KHg17Pb
Source: the Alexandria database
Functional: PBE
Structure: optimized geometry

Geometry as extended XYZ:
```
19
Lattice="5.024 2.901 6.179 -5.024 2.901 6.179 0.000 -5.801 6.179" Properties=species:S:1:pos:R:3 pbc="T T T"
K 0.000 0.000 0.000
Hg -1.564 -2.691 6.747
Hg -3.112 -0.009 6.747
Hg -2.134 -1.232 10.456
Hg 0.000 -3.706 9.468
Hg -3.210 1.853 9.468
Hg 0.000 0.000 5.584
Hg 1.564 -2.691 6.747
Hg -1.549 2.700 6.747
Hg 0.000 0.000 8.675
Hg -1.793 -1.035 15.488
Hg 3.112 -0.009 6.747
Hg 1.549 2.700 6.747
Hg 2.134 -1.232 10.456
Hg 0.000 2.464 10.456
Hg 3.210 1.853 9.468
Hg 1.793 -1.035 15.488
Hg 0.000 2.070 15.488
Pb 0.000 0.000 12.781
```

## Properties
VASP energy (eV/cell): -10.6
ΔE_f (kJ/mol of formula units): -64



Entry 10:
Compound: K2Hg3Pb5
Source: the Alexandria database
Functional: PBE
Structure: optimized geometry

Geometry as extended XYZ:
```
20
Lattice="-6.529 7.226 3.641 6.529 -7.226 3.641 6.529 7.226 -3.641" Properties=species:S:1:pos:R:3 pbc="T T T"
K 3.212 1.815 0.000
K 3.212 -1.815 3.641
K 3.317 9.041 0.000
K 3.317 5.411 3.641
Hg 8.389 1.753 0.000
Hg 0.000 0.000 1.821
Hg 1.860 5.473 0.000
Hg 4.669 1.753 3.641
Hg 0.000 0.000 5.462
Hg -1.860 5.473 3.641
Pb 6.529 -3.511 1.821
Pb 11.320 1.751 0.000
Pb 6.529 0.000 1.821
Pb 4.791 5.475 0.000
Pb 6.529 3.511 1.821
Pb 0.000 3.715 1.821
Pb 1.738 1.751 3.641
Pb 0.000 7.226 1.821
Pb -4.791 5.475 3.641
Pb 0.000 10.736 1.821
```

## Properties
VASP energy (eV/cell): -45.4
ΔE_f (kJ/mol of formula units): -103